! Ca3Ce2SmSe6 PBE optimized geometry; values from VASP
&SYSTEM
  ibrav = 0, nat = 12, ntyp = 4
/
ATOMIC_SPECIES
Ce 140.12 Ce.upf
Se 78.96 Se.upf
Sm 150.36 Sm.upf
Ca 40.08 Ca.upf
CELL_PARAMETERS angstrom
-4.055 4.010 -4.448
-3.128 -3.798 5.302
3.063 5.378 4.016
ATOMIC_POSITIONS angstrom
Ce -3.437 -1.195 2.052
Se -2.947 2.872 5.246
Se -0.866 0.132 2.854
Se -3.254 5.459 2.015
Ce -3.746 1.408 -1.198
Se 0.512 4.060 3.202
Se -1.173 2.719 -0.377
Sm 0.000 0.000 0.000
Ca -2.060 2.795 2.435
Ca -1.750 0.191 5.687
Se -4.632 1.531 1.667
Ca -2.369 5.400 -0.817
! Calculated total energy, Ry/atom: -0.404
! Formation energy without anion corrections, eV/f.u.: -22.48